A plane-wave DFT calculation with PBE-GGA was carried out for an optimized crystal structure of RbMnTl2Cr.

Structure (POSCAR):
```
RbMnTl2Cr
1.0
5.3649 0.0000 0.0000
0.0000 5.3649 0.0000
0.0000 0.0000 4.7548
Rb Mn Tl Cr
1 1 2 1
direct
0.0000 0.0000 0.0000
0.5000 0.5000 0.5000
0.0000 0.5000 0.5000
0.5000 0.0000 0.5000
0.5000 0.5000 0.0000
```

Values from the calculation:
The formation energy is 527 meV/atom. The magnetization is 2.258 μB/f.u. The density of states at the Fermi level comes out at 3.09 states/eV per cell. As for the space group: P4/mmm.